Here is a relaxed structure of TlCrCo2 from Alexandria via LeMat-Bulk. Energies are from PBE.

Lattice parameters (Å, degrees): 8.2989 8.2989 8.2989 19.93 19.93 19.93
With the nearest neighbours (Å) after each atom.
Fractional positions:
Co 0.9883 0.9883 0.9883  3 Cr 2.41
Co 0.5117 0.5117 0.5117  3 Cr 2.41
Cr 0.2500 0.2500 0.2500  6 Co 2.41
Tl 0.7500 0.7500 0.7500  6 Co 2.85, 6 Tl 2.87

D(E_F)   1.61 states/eV per atom
ΔH_f (0 K)   0.667 eV/atom